[1]
DFT (PBE) results for a relaxed CoGePdPt crystal.

Total magnetization   1.39 μB per cell

a b c (Å): 4.3366 4.3366 4.3366
angles (deg): 60.00 60.00 60.00
Last column: nearest neighbours and their distance in Å.
Fractional coordinates of all 4 atoms:
Co 0.7500 0.7500 0.7500  4 Ge 2.66, 4 Pt 2.66
Ge 0.0000 0.0000 0.0000  4 Co 2.66, 4 Pd 2.66
Pd 0.2500 0.2500 0.2500  4 Ge 2.66, 4 Pt 2.66
Pt 0.5000 0.5000 0.5000  4 Co 2.66, 4 Pd 2.66

***

[2]
DFT (PBE) results for a relaxed Co2Ge2PdPt crystal.

Total magnetization   1.03 μB per cell

a b c (Å): 3.6546 3.6546 6.2530
angles (deg): 90.00 90.00 90.00
Last column: nearest neighbours and their distance in Å.
Fractional coordinates of all 6 atoms:
Co 0.5000 0.0000 0.0004  4 Ge 2.37, 4 Co 2.58
Co 0.0000 0.5000 0.0004  4 Ge 2.37, 4 Co 2.58
Ge 0.0000 0.0000 0.2429  4 Co 2.37, 1 Pd 2.48
Ge 0.5000 0.5000 0.7582  4 Co 2.37, 1 Pt 2.50
Pd 0.0000 0.0000 0.6393  5 Ge 2.48-2.69
Pt 0.5000 0.5000 0.3586  5 Ge 2.50-2.68

***

[3]
DFT (PBE) results for a relaxed CoReGePd crystal.

Total magnetization   1.00 μB per cell

a b c (Å): 4.2860 4.2860 4.2860
angles (deg): 60.00 60.00 60.00
Last column: nearest neighbours and their distance in Å.
Fractional coordinates of all 4 atoms:
Co 0.7500 0.7500 0.7500  4 Pd 2.62, 4 Ge 2.62
Ge 0.0000 0.0000 0.0000  4 Co 2.62, 4 Re 2.62
Pd 0.5000 0.5000 0.5000  4 Re 2.62, 4 Co 2.62
Re 0.2500 0.2500 0.2500  4 Pd 2.62, 4 Ge 2.62

***

[4]
DFT (PBE) results for a relaxed SmCoGe2Pd crystal.

Total magnetization   1.28 μB per cell

a b c (Å): 5.9198 5.9198 5.9198
angles (deg): 138.87 138.87 59.57
Last column: nearest neighbours and their distance in Å.
Fractional coordinates of all 5 atoms:
Co 0.7500 0.2500 0.5000  4 Ge 2.45
Ge 0.3765 0.3765 0.0000  2 Co 2.45, 2 Pd 2.45, 1 Ge 2.54
Ge 0.6235 0.6235 0.0000  2 Co 2.45, 2 Pd 2.45, 1 Ge 2.54
Pd 0.2500 0.7500 0.5000  4 Ge 2.45
Sm 0.0000 0.0000 0.0000  8 Ge 3.20, 4 Co 3.30, 4 Pd 3.30

***

| no. | uncorrected energy (eV per atom) |
| --- | --- |
| 1 | -5.78 |
| 2 | -6.06 |
| 3 | -7.10 |
| 4 | -5.92 |